# 1
Here is LaGa6Ni4 after structural relaxation from Alexandria via LeMat-Bulk. Energies are from PBE-GGA.

Calculated values
DFT formation energy ... -46.4 kJ per mole of atoms
Magnetic moment ... 0.00 μB/cell

Cell: 7.0034 7.0034 4.0127 Å, 90.00 90.00 120.00°
Space group P-6m2 (No. 187)
Asymmetric unit:
La 0.0000 0.0000 0.0000 (multiplicity 1)
Ga 0.2000 0.4000 0.5000 (multiplicity 3)
Ga 0.5347 0.0694 0.0000 (multiplicity 3)
Ni 0.3333 0.6667 0.0000 (multiplicity 1)
Ni 0.4219 0.2109 0.5000 (multiplicity 3)



# 2
Here is LaGa4Ni2 after structural relaxation from Alexandria via LeMat-Bulk. Energies are from PBE-GGA.

Calculated values
DFT formation energy ... -53.2 kJ per mole of atoms
Magnetic moment ... 0.00 μB/cell
Relative energy among the computed polymorphs ... 0.00 kcal/mol of atoms

Cell: 17.0135 4.1212 6.9087 Å, 90.00 90.00 90.00°
Space group Pnma (No. 62)
Asymmetric unit:
La 0.1204 0.2500 0.0191 (multiplicity 4)
Ga 0.0370 0.7500 0.7331 (multiplicity 4)
Ga 0.0954 0.2500 0.5062 (multiplicity 4)
Ga 0.1871 0.7500 0.3454 (multiplicity 4)
Ga 0.2026 0.7500 0.7339 (multiplicity 4)
Ni 0.0358 0.7500 0.3461 (multiplicity 4)
Ni 0.2341 0.2500 0.5477 (multiplicity 4)



# 3
Here is LaGa11Ni after structural relaxation from Alexandria via LeMat-Bulk. Energies are from PBE-GGA.

Calculated values
DFT formation energy ... -19.6 kJ per mole of atoms
Magnetic moment ... 0.00 μB/cell

Cell: 5.1496 12.2858 7.9973 Å, 90.00 107.72 90.00°
Space group C2/m (No. 12)
Asymmetric unit:
La 0.0000 0.0000 0.0000 (multiplicity 2)
Ga 0.0000 0.0000 0.5000 (multiplicity 2)
Ga 0.1178 0.3907 0.2379 (multiplicity 8)
Ga 0.2079 0.1730 0.3685 (multiplicity 8)
Ga 0.2500 0.2500 0.0000 (multiplicity 4)
Ni 0.0000 0.5000 0.5000 (multiplicity 2)



# 4
Here is La2GaNi after structural relaxation from Alexandria via LeMat-Bulk. Energies are from PBE-GGA.

Calculated values
DFT formation energy ... 6.1 kJ per mole of atoms
Magnetic moment ... 0.00 μB/cell

Cell: 3.9837 3.9837 28.8271 Å, 90.00 90.00 120.00°
Space group R-3m (No. 166, hexagonal axes)
Asymmetric unit:
La 0.0000 0.0000 0.1109 (multiplicity 6)
Ga 0.0000 0.0000 0.0000 (multiplicity 3)
Ni 0.0000 0.0000 0.5000 (multiplicity 3)



# 5
Here is La2GaNi after structural relaxation from Alexandria via LeMat-Bulk. Energies are from PBE-GGA.

Calculated values
DFT formation energy ... -43.1 kJ per mole of atoms
Magnetic moment ... 0.00 μB/cell

Cell: 5.3945 4.4727 8.4599 Å, 90.00 98.90 90.00°
Space group P2_1/m (No. 11)
Asymmetric unit:
La 0.2179 0.2500 0.4488 (multiplicity 2)
La 0.2650 0.7500 0.0946 (multiplicity 2)
Ga 0.3218 0.7500 0.7359 (multiplicity 2)
Ni 0.1738 0.2500 0.7959 (multiplicity 2)



# 6
Here is LaGa4Ni6 after structural relaxation from Alexandria via LeMat-Bulk. Energies are from PBE-GGA.

Calculated values
DFT formation energy ... -40.4 kJ per mole of atoms
Magnetic moment ... 0.00 μB/cell

Cell: 6.8835 6.8835 3.8836 Å, 90.00 90.00 120.00°
Space group P-6m2 (No. 187)
Asymmetric unit:
La 0.0000 0.0000 0.0000 (multiplicity 1)
Ga 0.2011 0.4023 0.5000 (multiplicity 3)
Ga 0.6667 0.3333 0.0000 (multiplicity 1)
Ni 0.0712 0.5356 0.0000 (multiplicity 3)
Ni 0.4174 0.2087 0.5000 (multiplicity 3)



# 7
Here is LaGa2Ni3 after structural relaxation from Alexandria via LeMat-Bulk. Energies are from PBE-GGA.

Calculated values
DFT formation energy ... -50.2 kJ per mole of atoms
Magnetic moment ... 0.00 μB/cell

Cell: 8.9814 8.9814 4.1650 Å, 90.00 90.00 120.00°
Space group P-62m (No. 189)
Asymmetric unit:
La 0.0000 0.0000 0.0000 (multiplicity 1)
La 0.3333 0.6667 0.5000 (multiplicity 2)
Ga 0.0000 0.2748 0.5000 (multiplicity 3)
Ga 0.0000 0.5316 0.0000 (multiplicity 3)
Ni 0.0000 0.7139 0.5000 (multiplicity 3)
Ni 0.1662 0.3748 0.0000 (multiplicity 6)



# 8
Here is La3Ga8Ni3 after structural relaxation from Alexandria via LeMat-Bulk. Energies are from PBE-GGA.

Calculated values
DFT formation energy ... -52.4 kJ per mole of atoms
Magnetic moment ... 0.00 μB/cell
Relative energy among the computed polymorphs ... 0.31 kcal/mol of atoms

Cell: 16.0197 4.4924 8.6950 Å, 90.00 121.94 90.00°
Space group C2/m (No. 12)
Asymmetric unit:
La 0.0000 0.0000 0.0000 (multiplicity 2)
La 0.2125 0.5000 0.6983 (multiplicity 4)
Ga 0.0109 0.5000 0.6827 (multiplicity 4)
Ga 0.1312 0.0000 0.4256 (multiplicity 4)
Ga 0.1479 0.5000 0.2697 (multiplicity 4)
Ga 0.1526 0.0000 0.8704 (multiplicity 4)
Ni 0.0000 0.0000 0.5000 (multiplicity 2)
Ni 0.1556 0.5000 0.9978 (multiplicity 4)